#a
Density functional theory data (PBE) for a relaxed Sm4MgHg2 crystal.

```
Sm4MgHg2
1.0
2.676 1.545 8.885
-2.676 1.545 8.885
0.000 -3.090 8.885
Sm Mg Hg
4 1 2
Direct
0.126 0.126 0.126
0.282 0.282 0.282
0.718 0.718 0.718
0.874 0.874 0.874
0.500 0.500 0.500
0.398 0.398 0.398
0.602 0.602 0.602
```

Properties
- Crystal system: trigonal
- SG: No. 166
- Calculated volume: 31.48 Å³/atom

***

#b
Density functional theory data (PBE) for a relaxed Sm4MgHg2 crystal.

```
Sm4MgHg2
1.0
2.654 1.533 8.370
-2.654 1.533 8.370
0.000 -3.065 8.370
Sm Mg Hg
4 1 2
Direct
0.111 0.111 0.111
0.366 0.366 0.366
0.634 0.634 0.634
0.889 0.889 0.889
0.500 0.500 0.500
0.239 0.239 0.239
0.761 0.761 0.761
```

Properties
- Crystal system: trigonal
- SG: No. 166
- Calculated volume: 29.19 Å³/atom

***

Ordering by calculated energy gives the sequence #b, #a, with the first entry being the most stable.

***

#a
Density functional theory data (PBE) for a relaxed TbSmMgHg crystal.

```
TbSmMgHg
1.0
0.000 3.788 3.788
3.788 0.000 3.788
3.788 3.788 0.000
Tb Sm Mg Hg
1 1 1 1
Direct
0.000 0.000 0.000
0.500 0.500 0.500
0.250 0.250 0.250
0.750 0.750 0.750
```

Properties
- Crystal system: cubic
- SG: No. 216
- Calculated volume: 27.17 Å³/atom

***

#b
Density functional theory data (PBE) for a relaxed TbSmMgHg crystal.

```
TbSmMgHg
1.0
3.807 0.000 0.000
0.000 3.807 0.000
0.000 0.000 7.492
Tb Sm Mg Hg
1 1 1 1
Direct
0.000 0.000 0.000
0.000 0.000 0.505
0.500 0.500 0.248
0.500 0.500 0.762
```

Properties
- Crystal system: tetragonal
- SG: No. 99
- Calculated volume: 27.14 Å³/atom

***

Ordering by calculated energy gives the sequence #b, #a, with the first entry being the most stable.

***

#a
Density functional theory data (PBE) for a relaxed SmYMgHg crystal.

```
SmYMgHg
1.0
0.000 3.786 3.786
3.786 0.000 3.786
3.786 3.786 0.000
Sm Y Mg Hg
1 1 1 1
Direct
0.000 0.000 0.000
0.500 0.500 0.500
0.750 0.750 0.750
0.250 0.250 0.250
```

Properties
- Crystal system: cubic
- SG: No. 216
- Calculated volume: 27.13 Å³/atom

***

#b
Density functional theory data (PBE) for a relaxed SmYMgHg crystal.

```
SmYMgHg
1.0
3.806 0.000 0.000
0.000 3.806 0.000
0.000 0.000 7.496
Sm Y Mg Hg
1 1 1 1
Direct
0.000 0.000 0.000
0.000 0.000 0.494
0.500 0.500 0.741
0.500 0.500 0.255
```

Properties
- Crystal system: tetragonal
- SG: No. 99
- Calculated volume: 27.14 Å³/atom

***

Ordering by calculated energy gives the sequence #b, #a, with the first entry being the most stable.

***

#a
Density functional theory data (PBE) for a relaxed MgSn2Hg2 crystal.

```
MgSn2Hg2
1.0
-2.122 2.122 7.637
2.122 -2.122 7.637
2.122 2.122 -7.637
Mg Sn Hg
1 2 2
Direct
0.000 0.000 0.000
0.401 0.401 0.000
0.599 0.599 0.000
0.250 0.750 0.500
0.750 0.250 0.500
```

Properties
- Crystal system: tetragonal
- SG: No. 139
- Calculated volume: 27.51 Å³/atom

***

#b
Density functional theory data (PBE) for a relaxed MgSn2Hg2 crystal.

```
MgSn2Hg2
1.0
2.239 -8.970 0.000
2.239 8.970 0.000
0.000 0.000 6.289
Mg Sn Hg
2 4 4
Direct
0.101 0.899 0.500
0.899 0.101 0.000
0.313 0.687 0.718
0.494 0.506 0.746
0.506 0.494 0.246
0.687 0.313 0.218
0.095 0.905 0.975
0.306 0.694 0.213
0.694 0.306 0.713
0.905 0.095 0.475
```

Properties
- Crystal system: orthorhombic
- SG: No. 36
- Calculated volume: 25.26 Å³/atom

***

Ordering by calculated energy gives the sequence #b, #a, with the first entry being the most stable.

***

#a
Density functional theory data (PBE) for a relaxed Mg6SnHg3 crystal.

```
Mg6SnHg3
1.0
5.195 -7.249 0.000
5.195 7.249 0.000
0.000 0.000 6.309
Mg Sn Hg
12 2 6
Direct
0.039 0.961 0.500
0.059 0.460 0.031
0.266 0.734 0.339
0.288 0.344 0.339
0.344 0.288 0.839
0.460 0.059 0.531
0.540 0.941 0.031
0.656 0.712 0.339
0.712 0.656 0.839
0.734 0.266 0.839
0.941 0.540 0.531
0.961 0.039 0.000
0.208 0.792 0.800
0.792 0.208 0.300
0.046 0.276 0.652
0.276 0.046 0.152
0.408 0.592 0.026
0.592 0.408 0.526
0.724 0.954 0.652
0.954 0.724 0.152
```

Properties
- Crystal system: orthorhombic
- SG: No. 36
- Calculated volume: 23.76 Å³/atom

***

#b
Density functional theory data (PBE) for a relaxed Mg6SnHg3 crystal.

```
Mg6SnHg3
1.0
8.949 0.000 0.000
0.000 4.766 0.000
-2.073 0.000 10.412
Mg Sn Hg
12 2 6
Direct
0.051 0.250 0.410
0.136 0.750 0.175
0.239 0.250 0.983
0.322 0.750 0.781
0.352 0.250 0.288
0.415 0.250 0.588
0.585 0.750 0.412
0.648 0.750 0.712
0.678 0.250 0.219
0.761 0.750 0.017
0.864 0.250 0.825
0.949 0.750 0.590
0.455 0.750 0.122
0.545 0.250 0.878
0.036 0.750 0.884
0.131 0.250 0.691
0.268 0.750 0.458
0.732 0.250 0.542
0.869 0.750 0.309
0.964 0.250 0.116
```

Properties
- Crystal system: monoclinic
- SG: No. 11
- Calculated volume: 22.20 Å³/atom

***

Ordering by calculated energy gives the sequence #b, #a, with the first entry being the most stable.

***

#a
Density functional theory data (PBE) for a relaxed Mg6Sn3Hg crystal.

```
Mg6Sn3Hg
1.0
8.911 0.000 0.000
0.000 5.061 0.000
-4.421 0.000 10.336
Mg Sn Hg
12 6 2
Direct
0.014 0.250 0.329
0.022 0.750 0.173
0.209 0.250 0.132
0.252 0.750 0.493
0.377 0.250 0.922
0.442 0.750 0.292
0.558 0.250 0.708
0.623 0.750 0.078
0.748 0.250 0.507
0.791 0.750 0.868
0.978 0.250 0.827
0.986 0.750 0.671
0.136 0.250 0.622
0.177 0.750 0.970
0.416 0.750 0.786
0.584 0.250 0.214
0.823 0.250 0.030
0.864 0.750 0.378
0.371 0.250 0.412
0.629 0.750 0.588
```

Properties
- Crystal system: monoclinic
- SG: No. 11
- Calculated volume: 23.31 Å³/atom

***

#b
Density functional theory data (PBE) for a relaxed Mg6Sn3Hg crystal.

```
Mg6Sn3Hg
1.0
6.527 -3.030 0.000
6.527 3.030 0.000
-5.573 0.000 6.621
Mg Sn Hg
6 3 1
Direct
0.158 0.666 0.659
0.239 0.239 0.896
0.334 0.842 0.341
0.666 0.158 0.659
0.761 0.761 0.104
0.842 0.334 0.341
0.256 0.256 0.257
0.500 0.500 0.000
0.744 0.744 0.743
0.000 0.000 0.500
```

Properties
- Crystal system: monoclinic
- SG: No. 12
- Calculated volume: 26.18 Å³/atom

***

Ordering by calculated energy gives the sequence #a, #b, with the first entry being the most stable.

***

#a
Density functional theory data (PBE) for a relaxed Mg6SnHg2 crystal.

```
Mg6SnHg2
1.0
7.769 0.000 0.000
-3.884 6.728 0.000
0.000 0.000 3.943
Mg Sn Hg
6 1 2
Direct
0.000 0.397 0.000
0.000 0.724 0.500
0.276 0.276 0.500
0.397 0.000 0.000
0.603 0.603 0.000
0.724 0.000 0.500
0.000 0.000 0.000
0.333 0.667 0.500
0.667 0.333 0.500
```

Properties
- Crystal system: hexagonal
- SG: No. 189
- Calculated volume: 22.90 Å³/atom

***

#b
Density functional theory data (PBE) for a relaxed Mg6SnHg2 crystal.

```
Mg6SnHg2
1.0
6.963 -5.426 0.000
6.963 5.426 0.000
-1.161 0.000 5.333
Mg Sn Hg
12 2 4
Direct
0.071 0.822 0.975
0.153 0.396 0.140
0.178 0.929 0.525
0.251 0.522 0.688
0.396 0.153 0.640
0.478 0.749 0.812
0.522 0.251 0.188
0.604 0.847 0.360
0.749 0.478 0.312
0.822 0.071 0.475
0.847 0.604 0.860
0.929 0.178 0.025
0.386 0.614 0.250
0.614 0.386 0.750
0.044 0.289 0.589
0.289 0.044 0.089
0.711 0.956 0.911
0.956 0.711 0.411
```

Properties
- Crystal system: monoclinic
- SG: No. 15
- Calculated volume: 22.38 Å³/atom

***

Ordering by calculated energy gives the sequence #a, #b, with the first entry being the most stable.

***

#a
Density functional theory data (PBE) for a relaxed Mg3SnHg crystal.

```
Mg3SnHg
1.0
2.458 -4.149 0.000
2.458 4.149 0.000
0.000 0.000 11.672
Mg Sn Hg
6 2 2
Direct
0.003 0.997 0.750
0.335 0.665 0.103
0.335 0.665 0.397
0.665 0.335 0.603
0.665 0.335 0.897
0.997 0.003 0.250
0.000 0.000 0.000
0.000 0.000 0.500
0.339 0.661 0.750
0.661 0.339 0.250
```

Properties
- Crystal system: orthorhombic
- SG: No. 63
- Calculated volume: 23.80 Å³/atom

***

#b
Density functional theory data (PBE) for a relaxed Mg3SnHg crystal.

```
Mg3SnHg
1.0
5.202 0.000 0.000
0.000 5.202 0.000
0.000 0.000 5.202
Mg Sn Hg
3 1 1
Direct
0.000 0.000 0.500
0.000 0.500 0.000
0.500 0.000 0.000
0.500 0.500 0.500
0.000 0.000 0.000
```

Properties
- Crystal system: cubic
- SG: No. 221
- Calculated volume: 28.16 Å³/atom

***

Ordering by calculated energy gives the sequence #a, #b, with the first entry being the most stable.

***

#a
Density functional theory data (PBE) for a relaxed Mg8Sn2Hg3 crystal.

```
Mg8Sn2Hg3
1.0
3.004 1.734 10.294
-3.004 1.734 10.294
0.000 -3.469 10.294
Mg Sn Hg
8 2 3
Direct
0.216 0.216 0.716
0.216 0.716 0.216
0.218 0.218 0.218
0.284 0.784 0.784
0.716 0.216 0.216
0.782 0.782 0.782
0.784 0.284 0.784
0.784 0.784 0.284
0.126 0.126 0.126
0.874 0.874 0.874
0.307 0.307 0.307
0.500 0.500 0.500
0.693 0.693 0.693
```

Properties
- Crystal system: trigonal
- SG: No. 166
- Calculated volume: 24.76 Å³/atom

***

#b
Density functional theory data (PBE) for a relaxed Mg8Sn2Hg3 crystal.

```
Mg8Sn2Hg3
1.0
4.718 -7.151 0.000
4.718 7.151 0.000
0.000 0.000 4.735
Mg Sn Hg
8 2 3
Direct
0.120 0.880 0.000
0.124 0.374 0.500
0.368 0.632 0.000
0.374 0.124 0.500
0.626 0.876 0.500
0.632 0.368 0.000
0.876 0.626 0.500
0.880 0.120 0.000
0.243 0.757 0.500
0.757 0.243 0.500
0.245 0.245 0.000
0.500 0.500 0.500
0.755 0.755 0.000
```

Properties
- Crystal system: orthorhombic
- SG: No. 65
- Calculated volume: 24.58 Å³/atom

***

Ordering by calculated energy gives the sequence #b, #a, with the first entry being the most stable.

***

#a
Density functional theory data (PBE) for a relaxed Mg5SnHg2 crystal.

```
Mg5SnHg2
1.0
-3.760 3.760 6.462
3.760 -3.760 6.462
3.760 3.760 -6.462
Mg Sn Hg
10 2 4
Direct
0.000 0.000 0.000
0.005 0.505 0.199
0.195 0.995 0.500
0.305 0.805 0.801
0.495 0.695 0.500
0.500 0.500 0.000
0.505 0.305 0.500
0.695 0.195 0.199
0.805 0.005 0.500
0.995 0.495 0.801
0.250 0.250 0.000
0.750 0.750 0.000
0.148 0.352 0.500
0.352 0.852 0.203
0.648 0.148 0.797
0.852 0.648 0.500
```

Properties
- Crystal system: tetragonal
- SG: No. 140
- Calculated volume: 22.84 Å³/atom

***

#b
Density functional theory data (PBE) for a relaxed Mg5SnHg2 crystal.

```
Mg5SnHg2
1.0
6.375 0.000 0.000
0.000 12.213 0.000
0.000 0.000 4.654
Mg Sn Hg
10 2 4
Direct
0.000 0.000 0.000
0.139 0.262 0.000
0.171 0.608 0.500
0.329 0.108 0.500
0.361 0.762 0.000
0.500 0.500 0.000
0.639 0.238 0.000
0.671 0.892 0.500
0.829 0.392 0.500
0.861 0.738 0.000
0.000 0.500 0.000
0.500 0.000 0.000
0.111 0.847 0.500
0.389 0.347 0.500
0.611 0.653 0.500
0.889 0.153 0.500
```

Properties
- Crystal system: orthorhombic
- SG: No. 55
- Calculated volume: 22.65 Å³/atom

***

Ordering by calculated energy gives the sequence #b, #a, with the first entry being the most stable.